VASP calculation (PBE-GGA) on TaMn2Zn after structural relaxation.

Cell lengths 4.9980, 4.9980, 2.6480 Å; angles 101.89, 101.89, 114.99 degrees
Sites, in units of the cell vectors:
Ta: 0.0000 0.0000 0.0000
Mn: 0.0000 0.5000 0.5000
Mn: 0.5000 0.0000 0.5000
Zn: 0.5000 0.5000 0.0000

## Properties
Its space group is C2/m (12). The total magnetic moment is 2.7 μB/f.u. Its energy is -7.674 eV per atom.